Ti2TcRhSe after structural relaxation. Source: Alexandria, functional GGA-PBEsol.

Cell lengths 4.3998, 4.5250, 4.5250 Å; angles 90.00, 90.00, 90.00 degrees
Last column: nearest neighbours and their distance in Å.
Fractional positions:
Rh 0.5000 0.5000 0.5000  8 Ti 3.16, 4 Tc 3.20
Tc 0.5000 0.0000 0.0000  2 Se 2.20
Se 0.0000 0.0000 0.0000  2 Tc 2.20, 4 Ti 2.26
Ti 0.0000 0.0000 0.5000  2 Se 2.26
Ti 0.0000 0.5000 0.0000  2 Se 2.26

Values from the calculation:
Total magnetic moment (μB per cell): 0.00
Raw formation energy (eV/atom): 0.544
DOS(E_F) (states/eV per atom): 1.360
V (Å³ per atom): 18.017

Te3RhSe after structural relaxation. Source: Alexandria, functional GGA-PBEsol.

Cell lengths 5.1042, 5.1042, 5.1042 Å; angles 90.00, 90.00, 90.00 degrees
Last column: nearest neighbours and their distance in Å.
Fractional positions:
Te 0.0000 0.5000 0.0000  2 Rh 2.55
Te 0.0000 0.0000 0.5000  2 Rh 2.55
Te 0.5000 0.0000 0.0000  2 Rh 2.55
Rh 0.0000 0.0000 0.0000  6 Te 2.55
Se 0.5000 0.5000 0.5000  12 Te 3.61

Values from the calculation:
Total magnetic moment (μB per cell): 0.00
Raw formation energy (eV/atom): 0.424
DOS(E_F) (states/eV per atom): 1.204
V (Å³ per atom): 26.596

TlRh3Se after structural relaxation. Source: Alexandria, functional GGA-PBEsol.

Cell lengths 4.5301, 4.5301, 4.5301 Å; angles 90.00, 90.00, 90.00 degrees
Last column: nearest neighbours and their distance in Å.
Fractional positions:
Tl 0.5000 0.5000 0.5000  12 Rh 3.20
Rh 0.0000 0.5000 0.0000  2 Se 2.27
Rh 0.0000 0.0000 0.5000  2 Se 2.27
Rh 0.5000 0.0000 0.0000  2 Se 2.27
Se 0.0000 0.0000 0.0000  6 Rh 2.27

Values from the calculation:
Total magnetic moment (μB per cell): 0.00
Raw formation energy (eV/atom): 0.463
DOS(E_F) (states/eV per atom): 1.214
V (Å³ per atom): 18.594

TlRhSe2 after structural relaxation. Source: Alexandria, functional GGA-PBEsol.

Cell lengths 3.6829, 4.8118, 5.4278 Å; angles 115.58, 90.00, 90.00 degrees
Last column: nearest neighbours and their distance in Å.
Fractional positions:
Tl 0.5000 0.0000 0.5000  2 Rh 2.74
Rh 0.5000 0.5000 0.0000  4 Se 2.45
Se 0.0000 0.2826 0.1574  2 Rh 2.45, 1 Se 2.51
Se 0.0000 0.7174 0.8426  2 Rh 2.45, 1 Se 2.51

Values from the calculation:
Total magnetic moment (μB per cell): 0.00
Raw formation energy (eV/atom): -0.322
DOS(E_F) (states/eV per atom): 0.284
V (Å³ per atom): 21.690

TlRhSe3 after structural relaxation. Source: Alexandria, functional GGA-PBEsol.

Cell lengths 5.1981, 5.1981, 5.1981 Å; angles 90.00, 90.00, 90.00 degrees
Last column: nearest neighbours and their distance in Å.
Fractional positions:
Tl 0.0000 0.0000 0.0000  6 Se 2.60
Rh 0.5000 0.5000 0.5000  12 Se 3.68
Se 0.0000 0.5000 0.0000  2 Tl 2.60
Se 0.0000 0.0000 0.5000  2 Tl 2.60
Se 0.5000 0.0000 0.0000  2 Tl 2.60

Values from the calculation:
Total magnetic moment (μB per cell): 2.66
Raw formation energy (eV/atom): 1.369
DOS(E_F) (states/eV per atom): 1.756
V (Å³ per atom): 28.090

TlRhSe2 after structural relaxation. Source: Alexandria, functional GGA-PBEsol.

Cell lengths 3.1309, 3.1309, 8.1881 Å; angles 90.00, 90.00, 90.00 degrees
Last column: nearest neighbours and their distance in Å.
Fractional positions:
Rh 0.5000 0.5000 0.0000  8 Se 2.67
Se 0.0000 0.0000 0.1816  4 Rh 2.67, 1 Se 2.97
Se 0.0000 0.0000 0.8184  4 Rh 2.67, 1 Se 2.97
Tl 0.5000 0.5000 0.5000  4 Tl 3.13, 8 Se 3.42

Values from the calculation:
Total magnetic moment (μB per cell): 0.00
Raw formation energy (eV/atom): -0.071
DOS(E_F) (states/eV per atom): 0.516
V (Å³ per atom): 20.066

TlRhSe2 after structural relaxation. Source: Alexandria, functional GGA-PBEsol.

Cell lengths 3.7707, 3.7707, 7.1980 Å; angles 90.00, 90.00, 120.00 degrees
Last column: nearest neighbours and their distance in Å.
Fractional positions:
Tl 0.0000 0.0000 0.5000  6 Se 3.23, 2 Rh 3.60
Rh 0.0000 0.0000 0.0000  6 Se 2.49
Se 0.3333 0.6667 0.8312  3 Rh 2.49
Se 0.6667 0.3333 0.1688  3 Rh 2.49

Values from the calculation:
Total magnetic moment (μB per cell): 0.00
Raw formation energy (eV/atom): -0.405
DOS(E_F) (states/eV per atom): 0.300
V (Å³ per atom): 22.158

U12Rh4Se31 after structural relaxation. Source: Alexandria, functional GGA-PBEsol.

Cell lengths 11.6122, 11.6122, 11.6122 Å; angles 109.62, 109.62, 109.17 degrees
Last column: nearest neighbours and their distance in Å.
Fractional positions:
U 0.2949 0.5907 0.2958  8 Se 2.78-2.97
U 0.7051 0.0009 0.2958  8 Se 2.78-2.97
U 0.3003 0.6997 0.0000  8 Se 2.83-2.88
U 0.5907 0.2949 0.2958  8 Se 2.78-2.97
U 0.9991 0.2949 0.7042  8 Se 2.78-2.97
U 0.6997 0.6997 0.3994  8 Se 2.83-2.88
U 0.4093 0.7051 0.7042  8 Se 2.78-2.97
U 0.6997 0.3003 0.0000  8 Se 2.83-2.88
U 0.2949 0.9991 0.7042  8 Se 2.78-2.97
U 0.0009 0.7051 0.2958  8 Se 2.78-2.97
U 0.3003 0.3003 0.6006  8 Se 2.83-2.88
U 0.7051 0.4093 0.7042  8 Se 2.78-2.97
Rh 0.0000 0.5000 0.0000  6 Se 2.47-2.53
Rh 0.5000 0.5000 0.5000  6 Se 2.47-2.53
Rh 0.5000 0.0000 0.0000  6 Se 2.47-2.53
Rh 0.0000 0.0000 0.5000  6 Se 2.47-2.53
Se 0.5655 0.7471 0.5654  1 Rh 2.47
Se 0.8183 0.2529 0.8184  1 Rh 2.47
Se 0.8183 0.9999 0.5654  1 Rh 2.47
Se 0.1817 0.7471 0.1816  1 Rh 2.47
Se 0.5000 0.7687 0.2687  4 U 2.78-2.83
Se 0.7500 0.2500 0.5000  4 U 2.80
Se 0.1901 0.4395 0.0000  1 Rh 2.53
Se 0.7471 0.5655 0.5654  1 Rh 2.47
Se 0.4345 0.9999 0.1816  1 Rh 2.47
Se 0.0001 0.5655 0.8184  1 Rh 2.47
Se 0.4395 0.4395 0.2495  1 Rh 2.53
Se 0.9999 0.8183 0.5654  1 Rh 2.47
Se 0.5605 0.8099 0.0000  1 Rh 2.53
Se 0.7471 0.1817 0.1816  1 Rh 2.47
Se 0.2313 0.5000 0.7313  4 U 2.78-2.83
Se 0.7687 0.5000 0.2687  4 U 2.78-2.83
Se 0.2529 0.8183 0.8184  1 Rh 2.47
Se 0.4395 0.1901 0.0000  1 Rh 2.53
Se 0.0001 0.1817 0.4346  1 Rh 2.47
Se 0.8099 0.8099 0.2495  1 Rh 2.53
Se 0.5000 0.5000 0.0000  12 Se 3.43-3.60, 4 U 3.78
Se 0.5655 0.0001 0.8184  1 Rh 2.47
Se 0.1901 0.1901 0.7505  1 Rh 2.53
Se 0.2529 0.4345 0.4346  1 Rh 2.47
Se 0.8099 0.5605 0.0000  1 Rh 2.53
Se 0.2500 0.7500 0.5000  4 U 2.80
Se 0.5000 0.2313 0.7313  4 U 2.78-2.83
Se 0.1817 0.0001 0.4346  1 Rh 2.47
Se 0.9999 0.4345 0.1816  1 Rh 2.47
Se 0.5605 0.5605 0.7505  1 Rh 2.53
Se 0.4345 0.2529 0.4346  1 Rh 2.47

Values from the calculation:
Total magnetic moment (μB per cell): 22.05
Raw formation energy (eV/atom): -0.965
DOS(E_F) (states/eV per atom): 1.432
V (Å³ per atom): 25.646

Rh2WSe after structural relaxation. Source: Alexandria, functional GGA-PBEsol.

Cell lengths 3.8480, 3.8480, 4.7791 Å; angles 113.74, 113.74, 90.00 degrees
Last column: nearest neighbours and their distance in Å.
Fractional positions:
Rh 0.7500 0.2500 0.5000  4 Rh 2.72, 4 W 2.75, 4 Se 2.75
Rh 0.2500 0.7500 0.5000  4 Rh 2.72, 4 W 2.75, 4 Se 2.75
Se 0.5000 0.5000 0.0000  4 W 2.72, 8 Rh 2.75
W 0.0000 0.0000 0.0000  4 Se 2.72, 8 Rh 2.75

Values from the calculation:
Total magnetic moment (μB per cell): 0.00
Raw formation energy (eV/atom): 0.239
DOS(E_F) (states/eV per atom): 0.775
V (Å³ per atom): 14.544

Rh2WSe after structural relaxation. Source: Alexandria, functional GGA-PBEsol.

Cell lengths 3.0524, 4.3249, 5.0890 Å; angles 115.15, 107.45, 90.00 degrees
Last column: nearest neighbours and their distance in Å.
Fractional positions:
Rh 0.7697 0.7697 0.5393  2 Se 2.52, 4 Rh 2.67, 2 W 2.80
Rh 0.2303 0.2303 0.4607  2 Se 2.52, 4 Rh 2.67, 2 W 2.80
Se 0.5000 0.0000 0.0000  4 Rh 2.52, 4 W 2.65
W 0.0000 0.5000 0.0000  4 Se 2.65, 8 Rh 2.80-2.95

Values from the calculation:
Total magnetic moment (μB per cell): 0.00
Raw formation energy (eV/atom): 0.090
DOS(E_F) (states/eV per atom): 0.790
V (Å³ per atom): 14.345

RhWSe2 after structural relaxation. Source: Alexandria, functional GGA-PBEsol.

Cell lengths 3.1720, 4.3706, 4.3706 Å; angles 90.00, 90.00, 90.00 degrees
Last column: nearest neighbours and their distance in Å.
Fractional positions:
Rh 0.5000 0.0000 0.0000  8 Se 2.70
Se 0.0000 0.0000 0.5000  4 W 2.70, 4 Rh 2.70
Se 0.0000 0.5000 0.0000  4 Rh 2.70, 4 W 2.70
W 0.5000 0.5000 0.5000  8 Se 2.70

Values from the calculation:
Total magnetic moment (μB per cell): 0.00
Raw formation energy (eV/atom): 0.216
DOS(E_F) (states/eV per atom): 0.975
V (Å³ per atom): 15.148

RhWSe after structural relaxation. Source: Alexandria, functional GGA-PBEsol.

Cell lengths 4.0994, 4.0994, 4.0994 Å; angles 60.00, 60.00, 60.00 degrees
Last column: nearest neighbours and their distance in Å.
Fractional positions:
Rh 0.5000 0.5000 0.5000  4 Se 2.51
Se 0.2500 0.2500 0.2500  4 W 2.51, 4 Rh 2.51
W 0.0000 0.0000 0.0000  4 Se 2.51

Values from the calculation:
Total magnetic moment (μB per cell): 0.00
Raw formation energy (eV/atom): 0.480
DOS(E_F) (states/eV per atom): 0.845
V (Å³ per atom): 16.237